Entry 1:
# ZrSi2AgAu (PBE, optimized geometry)
data_ZrSi2AgAu
_cell_length_a 5.065
_cell_length_b 5.065
_cell_length_c 5.269
_cell_angle_alpha 90.00
_cell_angle_beta 90.00
_cell_angle_gamma 90.00
_space_group_name_H-M_alt 'P 4/m m m'
_space_group_IT_number 123
_space_group_name_Hall '-P 4 2'
loop_
_atom_site_label
_atom_site_type_symbol
_atom_site_fract_x
_atom_site_fract_y
_atom_site_fract_z
Zr1 Zr 0.000 0.000 0.000
Si1 Si 0.000 0.500 0.000
Ag1 Ag 0.500 0.500 0.500
Au1 Au 0.000 0.000 0.500
# - Uncorrected formation energy: 890.6 meV/atom

Entry 2:
# Sm5AgAu4 (PBE, optimized geometry)
data_Sm5AgAu4
_cell_length_a 3.660
_cell_length_b 3.660
_cell_length_c 18.603
_cell_angle_alpha 90.00
_cell_angle_beta 90.00
_cell_angle_gamma 90.00
_space_group_name_H-M_alt 'P 4/m m m'
_space_group_IT_number 123
_space_group_name_Hall '-P 4 2'
loop_
_atom_site_label
_atom_site_type_symbol
_atom_site_fract_x
_atom_site_fract_y
_atom_site_fract_z
Sm1 Sm 0.000 0.000 0.000
Sm2 Sm 0.000 0.000 0.199
Sm3 Sm 0.000 0.000 0.397
Ag1 Ag 0.500 0.500 0.500
Au1 Au 0.500 0.500 0.100
Au2 Au 0.500 0.500 0.301
# - DFT formation energy: -0.698 eV/atom

no.,magnetic moment (Bohr magnetons per cell)
1,0.000
2,0.000